This record from the Alexandria database describes a geometry-optimized YScP structure. The functional is PBE-GGA.

The value obtained for the formation energy is -0.76 eV per atom.

The structure belongs to space group Fmm2 (No. 42); the cell edges are 4.2508, 5.4721 and 11.8997 Å and the angles 90.00°, 90.00° and 90.00°. The inequivalent atoms are Y at (0.0000, 0.0000, 0.0000), Sc at (0.0000, 0.0000, 0.2779) and P at (0.0000, 0.0000, 0.6517).


This record from the Alexandria database describes a geometry-optimized YSc2P structure. The functional is PBE-GGA.

The value obtained for the formation energy is -0.43 eV per atom.

The structure belongs to space group I-42d (No. 122); the cell edges are 8.3308, 8.3308 and 5.7143 Å and the angles 90.00°, 90.00° and 90.00°. The inequivalent atoms are Y at (0.0000, 0.0000, 0.0000), Sc at (0.1667, 0.2500, 0.6250) and P at (0.0000, 0.0000, 0.5000).


This record from the Alexandria database describes a geometry-optimized YSc2P structure. The functional is PBE-GGA.

The value obtained for the formation energy is -0.65 eV per atom.

The structure belongs to space group R-3m (No. 166, hexagonal axes); the cell edges are 3.6187, 3.6187 and 26.3904 Å and the angles 90.00°, 90.00° and 120.00°. The inequivalent atoms are Y at (0.0000, 0.0000, 0.0000), Sc at (0.0000, 0.0000, 0.2233) and P at (0.0000, 0.0000, 0.5000).


This record from the Alexandria database describes a geometry-optimized YScP2 structure. The functional is PBE-GGA.

The value obtained for the formation energy is -1.51 eV per atom.

The structure belongs to space group P4/mmm (No. 123); the cell edges are 3.8982, 3.8982 and 5.5062 Å and the angles 90.00°, 90.00° and 90.00°. The inequivalent atoms are Y at (0.0000, 0.0000, 0.0000), Sc at (0.5000, 0.5000, 0.5000), P at (0.0000, 0.0000, 0.5000) and P at (0.5000, 0.5000, 0.0000).


This record from the Alexandria database describes a geometry-optimized YScP2 structure. The functional is PBE-GGA.

The value obtained for the formation energy is -1.02 eV per atom.

The structure belongs to space group I-42d (No. 122); the cell edges are 6.1236, 6.1236 and 12.1542 Å and the angles 90.00°, 90.00° and 90.00°. The inequivalent atoms are Y at (0.0000, 0.0000, 0.0000), Sc at (0.0000, 0.0000, 0.5000) and P at (0.2280, 0.2500, 0.6250).


This record from the Alexandria database describes a geometry-optimized YSc2P structure. The functional is PBE-GGA.

The value obtained for the formation energy is -0.54 eV per atom.

The structure belongs to space group Imm2 (No. 44); the cell edges are 3.5688, 4.7376 and 10.6155 Å and the angles 90.00°, 90.00° and 90.00°. The inequivalent atoms are Y at (0.0000, 0.0000, 0.0000), Sc at (0.0000, 0.0000, 0.6054), Sc at (0.0000, 0.5000, 0.8005) and P at (0.0000, 0.5000, 0.2888).


This record from the Alexandria database describes a geometry-optimized YScP2 structure. The functional is PBE-GGA.

The value obtained for the formation energy is -1.09 eV per atom.

The structure belongs to space group P2/m (No. 10); the cell edges are 3.4310, 3.5559 and 6.7367 Å and the angles 90.00°, 102.13° and 90.00°. The inequivalent atoms are Y at (0.0000, 0.0000, 0.0000), Sc at (0.5000, 0.0000, 0.5000) and P at (0.2637, 0.5000, 0.7376).


This record from the Alexandria database describes a geometry-optimized YSc2P3 structure. The functional is PBE-GGA.

The value obtained for the formation energy is -1.51 eV per atom.

The structure belongs to space group Immm (No. 71); the cell edges are 3.8446, 5.4608 and 11.5166 Å and the angles 90.00°, 90.00° and 90.00°. The inequivalent atoms are Y at (0.0000, 0.0000, 0.0000), Sc at (0.0000, 0.0000, 0.3347), P at (0.0000, 0.5000, 0.0000) and P at (0.0000, 0.5000, 0.3247).


This record from the Alexandria database describes a geometry-optimized YScP structure. The functional is PBE-GGA.

The value obtained for the formation energy is -0.75 eV per atom.

The structure belongs to space group I4mm (No. 107); the cell edges are 3.5088, 3.5088 and 10.6369 Å and the angles 90.00°, 90.00° and 90.00°. The inequivalent atoms are Y at (0.0000, 0.0000, 0.0000), Sc at (0.0000, 0.0000, 0.7170) and P at (0.0000, 0.0000, 0.3288).


This record from the Alexandria database describes a geometry-optimized YSc2P structure. The functional is PBE-GGA.

The value obtained for the formation energy is 0.17 eV per atom.

The structure belongs to space group R-3m (No. 166, hexagonal axes); the cell edges are 3.3359, 3.3359 and 31.8688 Å and the angles 90.00°, 90.00° and 120.00°. The inequivalent atoms are Y at (0.0000, 0.0000, 0.0000), Sc at (0.0000, 0.0000, 0.4205) and P at (0.0000, 0.0000, 0.5000).


This record from the Alexandria database describes a geometry-optimized Y2ScP3 structure. The functional is PBE-GGA.

The value obtained for the formation energy is -1.55 eV per atom.

The structure belongs to space group I4/mmm (No. 139); the cell edges are 3.9428, 3.9428 and 16.6562 Å and the angles 90.00°, 90.00° and 90.00°. The inequivalent atoms are Y at (0.0000, 0.0000, 0.1658), Sc at (0.0000, 0.0000, 0.5000), P at (0.0000, 0.0000, 0.0000) and P at (0.0000, 0.0000, 0.3377).


This record from the Alexandria database describes a geometry-optimized YSc2P structure. The functional is PBE-GGA.

The value obtained for the formation energy is -0.58 eV per atom.

The structure belongs to space group Cmmm (No. 65); the cell edges are 5.5578, 10.2704 and 3.6230 Å and the angles 90.00°, 90.00° and 90.00°. The inequivalent atoms are Y at (0.0000, 0.0000, 0.0000), Sc at (0.0000, 0.3267, 0.5000) and P at (0.0000, 0.5000, 0.0000).


| no. | density of states at the Fermi level (states/eV/cell) |
| --- | --- |
| 1 | 12.3 |
| 2 | 17.9 |
| 3 | 15.5 |
| 4 | 0.5 |
| 5 | 0.0 |
| 6 | 5.1 |
| 7 | 0.9 |
| 8 | 2.1 |
| 9 | 2.9 |
| 10 | 14.9 |
| 11 | 1.5 |
| 12 | 14.8 |